Record 1
Material: As2WCl
Method: DFT, meta-GGA SCAN
State: single point on PBEsol structure

abc: 2.814 4.627 11.232
angles: 90.00 90.00 90.00
Space group Immm (No. 71)
Asymmetric unit:
As  0.000  0.000  0.199 [4 per cell]
W  0.000  0.500  0.500 [2 per cell]
Cl  0.000  0.500  0.000 [2 per cell]

Formation energy without anion corrections in eV/atom: 0.5361
E above lowest polymorph in eV/f.u.: 2.145



Record 2
Material: Zn3AsF
Method: DFT, meta-GGA SCAN
State: single point on PBEsol structure

abc: 4.328 4.328 4.328
angles: 90.00 90.00 90.00
Space group Pm-3m (No. 221)
Asymmetric unit:
Zn  0.000  0.000  0.500 [3 per cell]
As  0.500  0.500  0.500 [1 per cell]
F  0.000  0.000  0.000 [1 per cell]

Formation energy without anion corrections in eV/atom: -0.0850



Record 3
Material: LiCrIn3
Method: DFT, meta-GGA SCAN
State: single point on PBEsol structure

abc: 4.827 4.827 4.827
angles: 90.00 90.00 90.00
Space group Pm-3m (No. 221)
Asymmetric unit:
Li  0.000  0.000  0.000 [1 per cell]
Cr  0.500  0.500  0.500 [1 per cell]
In  0.000  0.000  0.500 [3 per cell]

Energy of formation from the pure elements in eV per atom: 0.3821



Record 4
Material: La2ZnRh
Method: DFT, meta-GGA SCAN
State: single point on PBEsol structure

abc: 5.012 5.012 3.693
angles: 90.00 90.00 90.00
Space group P4/mmm (No. 123)
Asymmetric unit:
La  0.000  0.500  0.000 [2 per cell]
Zn  0.000  0.000  0.500 [1 per cell]
Rh  0.500  0.500  0.500 [1 per cell]

Energy of formation from the pure elements in eV per atom: -0.5339



Record 5
Material: Ta2Be2Ga
Method: DFT, meta-GGA SCAN
State: single point on PBEsol structure

abc: 6.013 6.013 3.554
angles: 90.00 90.00 90.00
Space group P4/mbm (No. 127)
Asymmetric unit:
Ta  0.177  0.323  0.000 [4 per cell]
Be  0.118  0.618  0.500 [4 per cell]
Ga  0.000  0.000  0.500 [2 per cell]

Energy of formation from the pure elements in eV per atom: -0.2209



Record 6
Material: Tb3Rh
Method: DFT, meta-GGA SCAN
State: single point on PBEsol structure

abc: 7.054 9.401 6.180
angles: 90.00 90.00 90.00
Space group Pnma (No. 62)
Asymmetric unit:
Tb  0.034  0.250  0.138 [4 per cell]
Tb  0.177  0.063  0.669 [8 per cell]
Rh  0.119  0.750  0.438 [4 per cell]

Energy of formation from the pure elements in eV per atom: -0.6031